Record 1
Here is crystalline Ge2Sb2Cl at its relaxed geometry from Alexandria via LeMat-Bulk. Energies are from PBE.

Properties
Final energy (eV for the cell shown): -19.12
Energy relative to the elements, uncorrected (eV/atom): 0.04
Energy above the most stable polymorph in this dataset (meV per atom): 86
Crystal system: tetragonal

Cell: 4.602 4.602 7.140 Å, 71.20 71.20 90.00°
Fractional positions:
Sb 0.250 0.750 0.500
Sb 0.750 0.250 0.500
Ge 0.390 0.390 0.221
Ge 0.610 0.610 0.779
Cl 0.000 0.000 0.000

***

Record 2
Here is crystalline GeSb3Cl at its relaxed geometry from Alexandria via LeMat-Bulk. Energies are from PBE.

Properties
Final energy (eV for the cell shown): -36.21
Energy relative to the elements, uncorrected (eV/atom): 0.15
Energy above the most stable polymorph in this dataset (meV per atom): 0
Crystal system: hexagonal

Cell: 7.939 6.580 6.579 Å, 120.01 89.99 90.00°
Fractional positions:
Cl 0.250 0.333 0.667
Cl 0.750 0.667 0.333
Sb 0.750 0.628 0.814
Sb 0.250 0.372 0.186
Sb 0.250 0.814 0.186
Sb 0.750 0.186 0.814
Sb 0.250 0.814 0.628
Sb 0.750 0.186 0.372
Ge 0.000 0.000 0.000
Ge 0.500 0.000 0.000

***

Record 3
Here is crystalline GeSb3Cl at its relaxed geometry from Alexandria via LeMat-Bulk. Energies are from PBE.

Properties
Final energy (eV for the cell shown): -16.06
Energy relative to the elements, uncorrected (eV/atom): 0.56
Energy above the most stable polymorph in this dataset (meV per atom): 410
Crystal system: cubic

Cell: 5.385 5.385 5.385 Å, 90.00 90.00 90.00°
Fractional positions:
Cl 0.500 0.500 0.500
Sb 0.500 0.000 0.000
Sb 0.000 0.000 0.500
Sb 0.000 0.500 0.000
Ge 0.000 0.000 0.000

***

Record 4
Here is crystalline Ge3SbCl9 at its relaxed geometry from Alexandria via LeMat-Bulk. Energies are from PBE.

Properties
Final energy (eV for the cell shown): -89.95
Energy relative to the elements, uncorrected (eV/atom): -0.80
Crystal system: monoclinic

Cell: 10.225 9.368 12.686 Å, 78.52 66.23 56.92°
Fractional positions:
Cl 0.548 0.213 0.510
Cl 0.730 0.713 0.010
Cl 0.102 0.674 0.256
Cl 0.081 0.754 0.796
Cl 0.766 0.360 0.552
Cl 0.542 0.509 0.207
Cl 0.370 0.254 0.296
Cl 0.454 0.819 0.672
Cl 0.968 0.174 0.756
Cl 0.996 0.503 0.588
Cl 0.322 0.860 0.052
Cl 0.173 0.311 0.869
Cl 0.252 0.857 0.478
Cl 0.913 0.003 0.088
Cl 0.055 0.319 0.172
Cl 0.413 0.357 0.978
Cl 0.741 0.009 0.707
Cl 0.647 0.811 0.369
Ge 0.295 0.503 0.364
Ge 0.837 0.003 0.864
Ge 0.045 0.972 0.204
Ge 0.779 0.472 0.704
Ge 0.541 0.297 0.670
Ge 0.491 0.797 0.170
Sb 0.382 0.987 0.511
Sb 0.120 0.487 0.011

***

Record 5
Here is crystalline GeSb2Cl8 at its relaxed geometry from Alexandria via LeMat-Bulk. Energies are from PBE.

Properties
Final energy (eV for the cell shown): -35.94
Energy relative to the elements, uncorrected (eV/atom): -0.76
Energy above the most stable polymorph in this dataset (meV per atom): 24
Crystal system: monoclinic

Cell: 3.713 9.751 9.696 Å, 89.38 101.04 90.00°
Fractional positions:
Cl 0.641 0.954 0.282
Cl 0.757 0.699 0.515
Cl 0.999 0.197 0.997
Cl 0.359 0.046 0.718
Cl 0.600 0.566 0.199
Cl 0.001 0.803 0.003
Cl 0.243 0.301 0.485
Cl 0.400 0.434 0.801
Sb 0.153 0.734 0.305
Sb 0.847 0.266 0.695
Ge 0.500 0.000 0.000

***

Record 6
Here is crystalline GeSbCl2 at its relaxed geometry from Alexandria via LeMat-Bulk. Energies are from PBE.

Properties
Final energy (eV for the cell shown): -11.66
Energy relative to the elements, uncorrected (eV/atom): 0.19
Energy above the most stable polymorph in this dataset (meV per atom): 390
Crystal system: cubic

Cell: 5.058 5.058 5.058 Å, 60.00 60.00 60.00°
Fractional positions:
Ge 0.000 0.000 0.000
Sb 0.500 0.500 0.500
Cl 0.750 0.750 0.750
Cl 0.250 0.250 0.250

***

Record 7
Here is crystalline GeSbCl3 at its relaxed geometry from Alexandria via LeMat-Bulk. Energies are from PBE.

Properties
Final energy (eV for the cell shown): -15.00
Energy relative to the elements, uncorrected (eV/atom): -0.14
Energy above the most stable polymorph in this dataset (meV per atom): 0
Crystal system: cubic

Cell: 5.216 5.216 5.216 Å, 90.00 90.00 90.00°
Each line ends with the local moment (μB).
Fractional positions:
Cl 0.000 0.500 0.000  0.02
Cl 0.000 0.000 0.500  0.05
Cl 0.500 0.000 0.000  0.02
Sb 0.500 0.500 0.500  0.79
Ge 0.000 0.000 0.000  0.00

***

Record 8
Here is crystalline Ge2Sb2Cl at its relaxed geometry from Alexandria via LeMat-Bulk. Energies are from PBE.

Properties
Final energy (eV for the cell shown): -37.69
Energy relative to the elements, uncorrected (eV/atom): 0.10
Energy above the most stable polymorph in this dataset (meV per atom): 141
Crystal system: tetragonal

Cell: 8.313 8.313 3.472 Å, 90.00 90.00 90.00°
Fractional positions:
Sb 0.145 0.645 0.500
Sb 0.355 0.145 0.500
Sb 0.645 0.855 0.500
Sb 0.855 0.355 0.500
Ge 0.852 0.648 0.000
Ge 0.352 0.852 0.000
Ge 0.148 0.352 0.000
Ge 0.648 0.148 0.000
Cl 0.500 0.500 0.000
Cl 0.000 0.000 0.000

***

Record 9
Here is crystalline GeSb2Cl at its relaxed geometry from Alexandria via LeMat-Bulk. Energies are from PBE.

Properties
Final energy (eV for the cell shown): -61.00
Energy relative to the elements, uncorrected (eV/atom): -0.14
Energy above the most stable polymorph in this dataset (meV per atom): 0
Crystal system: monoclinic

Cell: 4.257 7.493 16.047 Å, 96.50 90.00 90.00°
Fractional positions:
Sb 0.745 0.497 0.063
Sb 0.255 0.503 0.937
Sb 0.748 0.380 0.461
Sb 0.245 0.003 0.437
Sb 0.752 0.880 0.961
Sb 0.248 0.120 0.039
Sb 0.755 0.997 0.563
Sb 0.252 0.620 0.539
Cl 0.231 0.034 0.775
Cl 0.769 0.966 0.225
Cl 0.269 0.534 0.275
Cl 0.731 0.466 0.725
Ge 0.426 0.821 0.129
Ge 0.074 0.321 0.629
Ge 0.926 0.679 0.371
Ge 0.574 0.179 0.871

***

Record 10
Here is crystalline GeSbCl2 at its relaxed geometry from Alexandria via LeMat-Bulk. Energies are from PBE.

Properties
Final energy (eV for the cell shown): -25.00
Energy relative to the elements, uncorrected (eV/atom): -0.02
Energy above the most stable polymorph in this dataset (meV per atom): 180
Crystal system: tetragonal

Cell: 7.945 7.945 6.444 Å, 51.94 51.94 90.00°
Fractional positions:
Cl 0.375 0.402 0.750
Cl 0.598 0.125 0.250
Cl 0.875 0.848 0.750
Cl 0.152 0.625 0.250
Sb 0.750 0.250 0.500
Sb 0.000 0.000 0.000
Ge 0.500 0.500 0.000
Ge 0.250 0.750 0.500

***

Record 11
Here is crystalline GeSb2Cl8 at its relaxed geometry from Alexandria via LeMat-Bulk. Energies are from PBE.

Properties
Final energy (eV for the cell shown): -36.21
Energy relative to the elements, uncorrected (eV/atom): -0.78
Energy above the most stable polymorph in this dataset (meV per atom): 0
Crystal system: monoclinic

Cell: 8.443 7.969 7.969 Å, 52.36 82.23 82.23°
Fractional positions:
Cl 0.836 0.377 0.891
Cl 0.577 0.314 0.314
Cl 0.164 0.109 0.623
Cl 0.726 0.940 0.940
Cl 0.836 0.891 0.377
Cl 0.164 0.623 0.109
Cl 0.274 0.060 0.060
Cl 0.423 0.686 0.686
Sb 0.625 0.141 0.141
Sb 0.375 0.859 0.859
Ge 0.000 0.000 0.000

***

Record 12
Here is crystalline GeSb2Cl at its relaxed geometry from Alexandria via LeMat-Bulk. Energies are from PBE.

Properties
Final energy (eV for the cell shown): -14.26
Energy relative to the elements, uncorrected (eV/atom): 0.11
Energy above the most stable polymorph in this dataset (meV per atom): 247
Crystal system: cubic

Cell: 5.076 5.076 5.076 Å, 60.00 60.00 60.00°
Fractional positions:
Sb 0.250 0.250 0.250
Sb 0.750 0.750 0.750
Ge 0.500 0.500 0.500
Cl 0.000 0.000 0.000

***

Record 13
Here is crystalline GeSbCl2 at its relaxed geometry from Alexandria via LeMat-Bulk. Energies are from PBE.

Properties
Final energy (eV for the cell shown): -13.22
Energy relative to the elements, uncorrected (eV/atom): -0.20
Energy above the most stable polymorph in this dataset (meV per atom): 0
Crystal system: trigonal

Cell: 9.841 9.841 9.841 Å, 20.02 20.02 20.02°
Fractional positions:
Cl 0.908 0.908 0.908
Cl 0.092 0.092 0.092
Ge 0.500 0.500 0.500
Sb 0.000 0.000 0.000